Entry 1:
A plane-wave DFT calculation with PBE was carried out for a relaxed Tl2Sn2Hg crystal.

Geometry as CIF:
```
data_Tl2Sn2Hg
_chemical_formula_sum 'Tl2 Sn2 Hg1'
_cell_length_a 9.457
_cell_length_b 9.457
_cell_length_c 9.457
_cell_angle_alpha 154.04
_cell_angle_beta 154.04
_cell_angle_gamma 37.04
_symmetry_space_group_name_H-M 'P 1'
_symmetry_Int_Tables_number 1
loop_
_symmetry_equiv_pos_as_xyz
'x,y,z'
loop_
_atom_site_label
_atom_site_type_symbol
_atom_site_fract_x
_atom_site_fract_y
_atom_site_fract_z
Tl1 Tl 0.099 0.099 0.000
Tl2 Tl 0.901 0.901 0.000
Sn1 Sn 0.250 0.750 0.500
Sn2 Sn 0.750 0.250 0.500
Hg1 Hg 0.500 0.500 0.000
```

---

Entry 2:
A plane-wave DFT calculation with PBE was carried out for a relaxed TlSn2Hg4 crystal.

Geometry as CIF:
```
data_TlSn2Hg4
_chemical_formula_sum 'Tl1 Sn2 Hg4'
_cell_length_a 5.303
_cell_length_b 5.303
_cell_length_c 9.101
_cell_angle_alpha 90.18
_cell_angle_beta 90.18
_cell_angle_gamma 59.98
_symmetry_space_group_name_H-M 'P 1'
_symmetry_Int_Tables_number 1
loop_
_symmetry_equiv_pos_as_xyz
'x,y,z'
loop_
_atom_site_label
_atom_site_type_symbol
_atom_site_fract_x
_atom_site_fract_y
_atom_site_fract_z
Tl1 Tl 0.000 0.000 0.000
Sn1 Sn 0.333 0.333 0.500
Sn2 Sn 0.667 0.667 0.500
Hg1 Hg 0.333 0.333 0.828
Hg2 Hg 0.334 0.334 0.173
Hg3 Hg 0.666 0.666 0.827
Hg4 Hg 0.667 0.667 0.172
```

---

Entry 3:
A plane-wave DFT calculation with PBE was carried out for a relaxed Tl3SnHg5 crystal.

Geometry as CIF:
```
data_Tl3SnHg5
_chemical_formula_sum 'Tl6 Sn2 Hg10'
_cell_length_a 9.688
_cell_length_b 9.688
_cell_length_c 6.530
_cell_angle_alpha 90.00
_cell_angle_beta 90.00
_cell_angle_gamma 120.00
_symmetry_space_group_name_H-M 'P 1'
_symmetry_Int_Tables_number 1
loop_
_symmetry_equiv_pos_as_xyz
'x,y,z'
loop_
_atom_site_label
_atom_site_type_symbol
_atom_site_fract_x
_atom_site_fract_y
_atom_site_fract_z
Tl1 Tl 0.000 0.374 0.250
Tl2 Tl 0.000 0.626 0.750
Tl3 Tl 0.374 0.000 0.250
Tl4 Tl 0.374 0.374 0.750
Tl5 Tl 0.626 0.000 0.750
Tl6 Tl 0.626 0.626 0.250
Sn1 Sn 0.000 0.000 0.000
Sn2 Sn 0.000 0.000 0.500
Hg1 Hg 0.000 0.287 0.750
Hg2 Hg 0.000 0.713 0.250
Hg3 Hg 0.287 0.000 0.750
Hg4 Hg 0.287 0.287 0.250
Hg5 Hg 0.333 0.667 0.000
Hg6 Hg 0.333 0.667 0.500
Hg7 Hg 0.667 0.333 0.000
Hg8 Hg 0.667 0.333 0.500
Hg9 Hg 0.713 0.000 0.250
Hg10 Hg 0.713 0.713 0.750
```

---

Entry 4:
A plane-wave DFT calculation with PBE was carried out for a relaxed Tl16Sn12Hg crystal.

Geometry as CIF:
```
data_Tl16Sn12Hg
_chemical_formula_sum 'Tl16 Sn12 Hg1'
_cell_length_a 10.439
_cell_length_b 10.439
_cell_length_c 10.395
_cell_angle_alpha 109.20
_cell_angle_beta 109.20
_cell_angle_gamma 109.12
_symmetry_space_group_name_H-M 'P 1'
_symmetry_Int_Tables_number 1
loop_
_symmetry_equiv_pos_as_xyz
'x,y,z'
loop_
_atom_site_label
_atom_site_type_symbol
_atom_site_fract_x
_atom_site_fract_y
_atom_site_fract_z
Tl1 Tl 0.000 0.000 0.000
Tl2 Tl 0.000 0.358 0.640
Tl3 Tl 0.001 0.001 0.641
Tl4 Tl 0.002 0.319 0.243
Tl5 Tl 0.002 0.601 0.960
Tl6 Tl 0.291 0.683 0.328
Tl7 Tl 0.319 0.002 0.243
Tl8 Tl 0.320 0.598 0.640
Tl9 Tl 0.358 0.000 0.640
Tl10 Tl 0.402 0.714 0.042
Tl11 Tl 0.598 0.320 0.640
Tl12 Tl 0.601 0.002 0.960
Tl13 Tl 0.638 0.638 0.291
Tl14 Tl 0.683 0.291 0.328
Tl15 Tl 0.685 0.685 0.931
Tl16 Tl 0.714 0.402 0.042
Sn1 Sn 0.001 0.637 0.458
Sn2 Sn 0.002 0.817 0.280
Sn3 Sn 0.179 0.363 0.007
Sn4 Sn 0.187 0.187 0.458
Sn5 Sn 0.187 0.823 0.826
Sn6 Sn 0.361 0.361 0.817
Sn7 Sn 0.363 0.179 0.007
Sn8 Sn 0.637 0.001 0.458
Sn9 Sn 0.640 0.818 0.648
Sn10 Sn 0.817 0.002 0.280
Sn11 Sn 0.818 0.640 0.648
Sn12 Sn 0.823 0.187 0.826
Hg1 Hg 0.400 0.400 0.360
```

---

Number 1: magnetization 0.00 μB per formula unit, calculated formation energy 5.75 kJ/mol of atoms. Number 2: magnetization 0.00 μB per formula unit, calculated formation energy 7.26 kJ/mol of atoms. Number 3: magnetization 0.00 μB per formula unit, calculated formation energy 1.13 kJ/mol of atoms. Number 4: magnetization 0.00 μB per formula unit, calculated formation energy 0.26 kJ/mol of atoms.